4
Lattice="4.752 0.000 0.000 0.000 4.752 0.000 0.000 0.000 3.347" Properties=species:S:1:pos:R:3 comment="HfPaTc2 PBE-GGA optimized geometry" formation_enthalpy_0k_ev_per_atom=-0.382 m_tot_mub_per_fu=0.00 dft_energy_ev_per_atom=-10.43 dos_at_fermi_per_ev_cell=3.401 polymorph_energy_mev_per_atom=0 pbc="T T T"
Hf 0.000 0.000 0.000
Pa 2.376 2.376 0.000
Tc 0.000 2.376 1.674
Tc 2.376 0.000 1.674

---

3
Lattice="4.697 0.000 0.000 -2.348 4.067 0.000 0.000 0.000 3.119" Properties=species:S:1:pos:R:3 comment="HfPaTc PBE-GGA optimized geometry" formation_enthalpy_0k_ev_per_atom=-0.100 m_tot_mub_per_fu=0.00 dft_energy_ev_per_atom=-10.04 dos_at_fermi_per_ev_cell=3.576 polymorph_energy_mev_per_atom=76 pbc="T T T"
Hf 0.000 0.000 0.000
Pa 2.348 1.356 1.965
Tc 0.000 2.712 1.100

---

4
Lattice="0.000 3.354 3.354 3.354 0.000 3.354 3.354 3.354 0.000" Properties=species:S:1:pos:R:3 comment="HfPaTc2 PBE-GGA optimized geometry" formation_enthalpy_0k_ev_per_atom=-0.366 m_tot_mub_per_fu=0.00 dft_energy_ev_per_atom=-10.41 dos_at_fermi_per_ev_cell=3.172 polymorph_energy_mev_per_atom=15 pbc="T T T"
Hf 0.000 0.000 0.000
Pa 3.354 3.354 3.354
Tc 1.677 1.677 1.677
Tc 5.032 5.032 5.032